Arrangement a

DFT (GGA-PBEsol) results for a geometry-optimized BaAg2Au structure.

Total magnetization ... 0.00 Bohr magnetons per cell
SG ... No. 166
Volume ... 103 Å³ per cell

Cell: 6.031 6.031 6.031 Å, 45.92 45.92 45.92°
Positions (direct):
Ba 0.000 0.000 0.000
Ag 0.199 0.199 0.199
Ag 0.801 0.801 0.801
Au 0.500 0.500 0.500


Arrangement b

DFT (GGA-PBEsol) results for a geometry-optimized BaAg2Au structure.

Total magnetization ... 0.00 Bohr magnetons per cell
SG ... No. 160
Volume ... 103 Å³ per cell

Cell: 6.049 6.049 6.049 Å, 45.65 45.65 45.65°
Positions (direct):
Ba 0.000 0.000 0.000
Ag 0.500 0.500 0.500
Ag 0.801 0.801 0.801
Au 0.203 0.203 0.203


arrangement b is favored, and the nearest alternative lies 0.044 eV/atom above it.


Arrangement a

DFT (GGA-PBEsol) results for a geometry-optimized BeAgAu structure.

Total magnetization ... 0.00 Bohr magnetons per cell
SG ... No. 156
Volume ... 43 Å³ per cell

Cell: 2.859 2.859 6.077 Å, 90.00 90.00 120.00°
Positions (direct):
Be 0.000 0.000 0.000
Ag 0.333 0.667 0.694
Au 0.667 0.333 0.290


Arrangement b

DFT (GGA-PBEsol) results for a geometry-optimized BeAgAu structure.

Total magnetization ... 0.00 Bohr magnetons per cell
SG ... No. 107
Volume ... 42 Å³ per cell

Cell: 5.289 5.289 5.289 Å, 147.95 147.95 45.96°
Positions (direct):
Be 0.000 0.000 0.000
Ag 0.656 0.656 0.000
Au 0.367 0.367 0.000


arrangement b is favored, and the nearest alternative lies 0.131 eV/atom above it.